Entry 1:
DFT (PBE) results for a relaxed structure of PmZrNO. Values from VASP.

Results
* energy relative to the lowest polymorph listed for this composition: 184 meV per atom
* spin magnetization: 0.0 Bohr magnetons per cell
* symmetry: Pbcm

Cell and atoms, written as Quantum ESPRESSO input:
```
&SYSTEM
  ibrav = 0, nat = 16, ntyp = 4
/
ATOMIC_SPECIES
Pm 145.00 Pm.upf
Zr 91.22 Zr.upf
N 14.01 N.upf
O 16.00 O.upf
CELL_PARAMETERS angstrom
8.096 0.000 0.000
0.000 6.478 0.000
0.000 0.000 4.965
ATOMIC_POSITIONS crystal
Pm 0.137 0.076 0.250
Pm 0.137 0.424 0.750
Pm 0.863 0.576 0.250
Pm 0.863 0.924 0.750
Zr 0.390 0.561 0.250
Zr 0.390 0.939 0.750
Zr 0.610 0.061 0.250
Zr 0.610 0.439 0.750
N 0.142 0.049 0.750
N 0.142 0.451 0.250
N 0.858 0.549 0.750
N 0.858 0.951 0.250
O 0.378 0.612 0.750
O 0.378 0.888 0.250
O 0.622 0.112 0.750
O 0.622 0.388 0.250
```



Entry 2:
DFT (PBE) results for a relaxed structure of PmZrNO. Values from VASP.

Results
* energy relative to the lowest polymorph listed for this composition: 0 meV per atom
* spin magnetization: 0.0 Bohr magnetons per cell
* symmetry: Pbcm

Cell and atoms, written as Quantum ESPRESSO input:
```
&SYSTEM
  ibrav = 0, nat = 16, ntyp = 4
/
ATOMIC_SPECIES
Pm 145.00 Pm.upf
Zr 91.22 Zr.upf
N 14.01 N.upf
O 16.00 O.upf
CELL_PARAMETERS angstrom
7.994 0.000 0.000
0.000 6.694 0.000
0.000 0.000 4.776
ATOMIC_POSITIONS crystal
Pm 0.126 0.054 0.250
Pm 0.126 0.446 0.750
Pm 0.874 0.554 0.250
Pm 0.874 0.946 0.750
Zr 0.378 0.593 0.250
Zr 0.378 0.907 0.750
Zr 0.622 0.093 0.250
Zr 0.622 0.407 0.750
N 0.400 0.584 0.750
N 0.400 0.916 0.250
N 0.600 0.084 0.750
N 0.600 0.416 0.250
O 0.156 0.094 0.750
O 0.156 0.406 0.250
O 0.844 0.594 0.750
O 0.844 0.906 0.250
```